LaCeLuHg: optimized geometry, GGA-PBE.

abc: 7.663 7.663 7.663
angles: 90.00 90.00 90.00
Space group F-43m (No. 216)
Unique sites:
La  0.000  0.000  0.000 x4
Ce  0.250  0.250  0.750 x4
Lu  0.000  0.000  0.500 x4
Hg  0.250  0.250  0.250 x4

Calculated values
calculated formation energy = 0.005 eV/atom
final energy = -0.288 Ry per atom